DFT (GGA-PBE) results for an optimized crystal structure of Rb2MgBeAs2.

abc: 6.2110 16.7516 6.2205
angles: 90.00 90.00 90.00
Space group Ibam (No. 72)
Unique sites:
Rb  0.2454  0.1703  0.0000
Mg  0.0000  0.0000  0.2500
Be  0.0000  0.5000  0.2500
As  0.2172  0.4202  0.0000

* formation energy from the elements: -0.4484 eV per atom
* size of the total moment: 0.00 μB/f.u.
* crystal system: orthorhombic